[1]
First-principles (PBE) data for crystalline InMoCl2 at its relaxed geometry, as listed in Alexandria.

Cell and atoms, written as POSCAR:
```
InMoCl2
1.0
3.1521 0.0000 0.0000
0.0000 5.6676 0.0000
0.0000 0.0000 4.5680
Mo Cl In
1 2 1
direct
0.0000 0.5000 0.5000
0.0000 0.0000 0.0000
0.5000 0.5000 0.0000
0.5000 0.0000 0.5000
```

Properties
**Spin magnetization**: 2.34 μB/f.u.
**Uncorrected formation energy**: 238 meV/atom
**Offset from the most stable computed form**: 587 meV per atom
**DOS(E_F)**: 2.28 states/eV/cell
**Space group**: Pmmm

[2]
First-principles (PBE) data for crystalline InMoCl2 at its relaxed geometry, as listed in Alexandria.

Cell and atoms, written as POSCAR:
```
InMoCl2
1.0
3.3518 0.0039 0.0000
-1.9477 2.7279 0.0000
0.0000 0.0000 9.7961
Mo Cl In
1 2 1
direct
0.5000 0.5000 0.7500
0.0000 0.0000 0.9471
0.0000 0.0000 0.5529
0.5000 0.5000 0.2500
```

Properties
**Spin magnetization**: 1.48 μB/f.u.
**Uncorrected formation energy**: -120 meV/atom
**Offset from the most stable computed form**: 228 meV per atom
**DOS(E_F)**: 1.93 states/eV/cell
**Space group**: Cmmm

[3]
First-principles (PBE) data for crystalline InMoCl2 at its relaxed geometry, as listed in Alexandria.

Cell and atoms, written as POSCAR:
```
InMoCl2
1.0
3.1426 0.0000 0.0000
0.0000 3.1426 0.0000
0.0000 0.0000 8.5895
Mo Cl In
1 2 1
direct
0.5000 0.5000 0.7532
0.0000 0.0000 0.9189
0.5000 0.5000 0.3061
0.0000 0.0000 0.5218
```

Properties
**Spin magnetization**: 0.94 μB/f.u.
**Uncorrected formation energy**: -62 meV/atom
**Offset from the most stable computed form**: 286 meV per atom
**DOS(E_F)**: 1.59 states/eV/cell
**Space group**: P4mm

[4]
First-principles (PBE) data for crystalline InMoCl2 at its relaxed geometry, as listed in Alexandria.

Cell and atoms, written as POSCAR:
```
InMoCl2
1.0
-2.0788 1.7691 9.7442
0.5567 3.4722 9.4886
-2.2130 4.7255 8.6702
Mo Cl In
1 2 1
direct
0.0000 0.0000 0.0000
0.9233 0.9233 0.9233
0.0767 0.0767 0.0767
0.5000 0.5000 0.5000
```

Properties
**Spin magnetization**: 0.00 μB/f.u.
**Uncorrected formation energy**: -41 meV/atom
**Offset from the most stable computed form**: 307 meV per atom
**DOS(E_F)**: 3.08 states/eV/cell
**Space group**: R-3m

[5]
First-principles (PBE) data for crystalline InMoCl2 at its relaxed geometry, as listed in Alexandria.

Cell and atoms, written as POSCAR:
```
InMoCl2
1.0
-1.3387 -4.9349 2.4226
1.6760 -5.1827 1.5311
1.9148 -0.4434 6.5988
Mo Cl In
1 2 1
direct
0.2945 0.2945 0.3751
0.9006 0.9006 0.0737
0.7399 0.7399 0.6768
0.5649 0.5649 0.3743
```

Properties
**Spin magnetization**: 1.77 μB/f.u.
**Uncorrected formation energy**: -253 meV/atom
**Offset from the most stable computed form**: 95 meV per atom
**DOS(E_F)**: 1.23 states/eV/cell
**Space group**: Cm

[6]
First-principles (PBE) data for crystalline InMoCl2 at its relaxed geometry, as listed in Alexandria.

Cell and atoms, written as POSCAR:
```
InMoCl2
1.0
7.2672 0.0458 -0.0876
6.5836 3.0775 -0.0876
1.8969 0.4277 4.7805
Mo Cl In
1 2 1
direct
0.2500 0.2500 0.2500
0.8994 0.8994 0.1003
0.6006 0.6006 0.3997
0.7500 0.7500 0.7500
```

Properties
**Spin magnetization**: 1.67 μB/f.u.
**Uncorrected formation energy**: -238 meV/atom
**Offset from the most stable computed form**: 111 meV per atom
**DOS(E_F)**: 0.91 states/eV/cell
**Space group**: C2/m

[7]
First-principles (PBE) data for crystalline InMoCl2 at its relaxed geometry, as listed in Alexandria.

Cell and atoms, written as POSCAR:
```
InMoCl2
1.0
3.2148 0.0000 0.0000
0.0000 4.6775 0.0251
0.0000 2.0789 7.1179
Mo Cl In
1 2 1
direct
0.5000 0.9800 0.6571
0.0000 0.8527 0.9195
0.5000 0.1614 0.3239
0.0000 0.5060 0.5995
```

Properties
**Spin magnetization**: 1.20 μB/f.u.
**Uncorrected formation energy**: -279 meV/atom
**Offset from the most stable computed form**: 69 meV per atom
**DOS(E_F)**: 1.74 states/eV/cell
**Space group**: Pm

[8]
First-principles (PBE) data for crystalline InMo4Cl7 at its relaxed geometry, as listed in Alexandria.

Cell and atoms, written as POSCAR:
```
InMo4Cl7
1.0
-2.2491 2.3747 -0.6228
-4.1399 -5.4009 -5.6772
-13.1239 -7.9386 17.1242
In Mo Cl
2 8 14
direct
0.5181 0.7743 0.5000
0.9837 0.2260 0.0000
0.5151 0.5512 0.8326
0.0150 0.6321 0.2436
0.5156 0.3679 0.2565
0.0154 0.4487 0.6673
0.0154 0.4487 0.3327
0.5151 0.5512 0.1674
0.0150 0.6321 0.7564
0.5156 0.3679 0.7435
0.0151 0.6156 0.0881
0.5155 0.3843 0.4120
0.5155 0.2843 0.8501
0.0150 0.7157 0.6498
0.0150 0.7157 0.3502
0.5156 0.2842 0.1499
0.5147 0.8264 0.7965
0.0159 0.1735 0.7035
0.0159 0.1735 0.2965
0.5147 0.8264 0.2035
0.4841 0.9953 0.0000
0.0179 0.0050 0.5000
0.0151 0.6157 0.9119
0.5155 0.3843 0.5880
```

Properties
**Spin magnetization**: 0.00 μB/f.u.
**Uncorrected formation energy**: -605 meV/atom
**DOS(E_F)**: 8.97 states/eV/cell
**Space group**: Pm

- Which of these has the lowest DOS(E_F)?
  number 6

- Number 3 is which compound?
  InMoCl2